First-principles (PBE) data for a relaxed Sc3AgO crystal, as listed in Alexandria.

Computed properties:
Formation energy without anion corrections in meV/atom: -939.6
SG: R-3c

Lattice parameters (Å, degrees): 7.866 7.866 7.866 46.70 46.70 46.70
Sites, in units of the cell vectors:
Sc (0.066, 0.750, 0.434)
Sc (0.250, 0.566, 0.934)
Sc (0.434, 0.066, 0.750)
Sc (0.566, 0.934, 0.250)
Sc (0.750, 0.434, 0.066)
Sc (0.934, 0.250, 0.566)
Ag (0.000, 0.000, 0.000)
Ag (0.500, 0.500, 0.500)
O (0.250, 0.250, 0.250)
O (0.750, 0.750, 0.750)

---

First-principles (PBE) data for a relaxed ErPd3Au7 crystal, as listed in Alexandria.

Computed properties:
Total energy in eV/atom: -4.0190
SG: Immm

Lattice parameters (Å, degrees): 7.006 7.006 7.006 136.99 105.07 90.51
Sites, in units of the cell vectors:
Er (0.000, 0.000, 0.000)
Pd (0.267, 0.767, 0.500)
Pd (0.500, 0.500, 0.000)
Pd (0.733, 0.233, 0.500)
Au (0.000, 0.500, 0.500)
Au (0.090, 0.262, 0.828)
Au (0.329, 0.000, 0.329)
Au (0.434, 0.262, 0.172)
Au (0.566, 0.738, 0.828)
Au (0.671, 0.000, 0.671)
Au (0.910, 0.738, 0.172)

---

First-principles (PBE) data for a relaxed TlB2F6 crystal, as listed in Alexandria.

Computed properties:
Formation energy without anion corrections in meV/atom: -2366.7
SG: C2/c

Lattice parameters (Å, degrees): 8.378 8.378 6.000 100.99 100.99 60.82
Sites, in units of the cell vectors:
Tl (0.064, 0.936, 0.750)
Tl (0.936, 0.064, 0.250)
B (0.214, 0.453, 0.297)
B (0.453, 0.214, 0.797)
B (0.547, 0.786, 0.203)
B (0.786, 0.547, 0.703)
F (0.080, 0.588, 0.185)
F (0.174, 0.348, 0.396)
F (0.348, 0.174, 0.896)
F (0.387, 0.419, 0.311)
F (0.412, 0.920, 0.315)
F (0.419, 0.387, 0.811)
F (0.581, 0.613, 0.189)
F (0.588, 0.080, 0.685)
F (0.613, 0.581, 0.689)
F (0.652, 0.826, 0.104)
F (0.826, 0.652, 0.604)
F (0.920, 0.412, 0.815)

---

First-principles (PBE) data for a relaxed BaTa3Mo crystal, as listed in Alexandria.

Computed properties:
Total energy in eV/atom: -6.3610
SG: Pm-3m

Lattice parameters (Å, degrees): 4.975 4.975 4.975 90.00 90.00 90.00
Sites, in units of the cell vectors:
Ba (0.000, 0.000, 0.000)
Ta (0.000, 0.000, 0.500)
Ta (0.000, 0.500, 0.000)
Ta (0.500, 0.000, 0.000)
Mo (0.500, 0.500, 0.500)

---

First-principles (PBE) data for a relaxed Y4Sn2Bi crystal, as listed in Alexandria.

Computed properties:
Total energy in eV/atom: -6.0059
SG: P2_1/m

Lattice parameters (Å, degrees): 6.190 6.585 10.251 90.00 98.72 90.00
Sites, in units of the cell vectors:
Y (0.035, 0.250, 0.169)
Y (0.136, 0.750, 0.451)
Y (0.431, 0.006, 0.733)
Y (0.431, 0.494, 0.733)
Y (0.569, 0.506, 0.267)
Y (0.569, 0.994, 0.267)
Y (0.864, 0.250, 0.549)
Y (0.965, 0.750, 0.831)
Sn (0.316, 0.250, 0.460)
Sn (0.497, 0.250, 0.009)
Sn (0.503, 0.750, 0.991)
Sn (0.684, 0.750, 0.540)
Bi (0.044, 0.750, 0.152)
Bi (0.956, 0.250, 0.848)

---

First-principles (PBE) data for a relaxed Ti2Al8Ir crystal, as listed in Alexandria.

Computed properties:
Total energy in eV/atom: -5.3075
SG: C2/m

Lattice parameters (Å, degrees): 8.663 8.663 5.672 101.78 101.78 26.89
Sites, in units of the cell vectors:
Ti (0.198, 0.198, 0.088)
Ti (0.802, 0.802, 0.912)
Al (0.021, 0.021, 0.774)
Al (0.214, 0.214, 0.600)
Al (0.367, 0.367, 0.211)
Al (0.389, 0.389, 0.731)
Al (0.611, 0.611, 0.269)
Al (0.633, 0.633, 0.789)
Al (0.786, 0.786, 0.400)
Al (0.979, 0.979, 0.226)
Ir (0.500, 0.500, 0.500)

---

First-principles (PBE) data for a relaxed SiRu4Pt crystal, as listed in Alexandria.

Computed properties:
Formation energy without anion corrections in meV/atom: 648.1
SG: F-43m

Lattice parameters (Å, degrees): 5.054 5.054 5.054 60.00 60.00 60.00
Sites, in units of the cell vectors:
Si (0.000, 0.000, 0.000)
Ru (0.126, 0.625, 0.625)
Ru (0.625, 0.126, 0.625)
Ru (0.625, 0.625, 0.126)
Ru (0.625, 0.625, 0.625)
Pt (0.250, 0.250, 0.250)

---

First-principles (PBE) data for a relaxed YSiTe2 crystal, as listed in Alexandria.

Computed properties:
Formation energy without anion corrections in meV/atom: -369.8
SG: I-4m2

Lattice parameters (Å, degrees): 6.330 6.330 6.330 140.15 140.15 57.63
Sites, in units of the cell vectors:
Y (0.000, 0.000, 0.000)
Si (0.250, 0.750, 0.500)
Te (0.500, 0.500, 0.000)
Te (0.750, 0.250, 0.500)

---

First-principles (PBE) data for a relaxed Sm2SnPb crystal, as listed in Alexandria.

Computed properties:
Total energy in eV/atom: -4.9431
SG: P2_1/m

Lattice parameters (Å, degrees): 6.312 4.434 9.066 90.00 108.93 90.00
Sites, in units of the cell vectors:
Sm (0.193, 0.250, 0.431)
Sm (0.293, 0.750, 0.064)
Sm (0.707, 0.250, 0.936)
Sm (0.807, 0.750, 0.569)
Sn (0.112, 0.250, 0.797)
Sn (0.888, 0.750, 0.203)
Pb (0.396, 0.750, 0.702)
Pb (0.604, 0.250, 0.298)

---

First-principles (PBE) data for a relaxed La2AlCuSe5 crystal, as listed in Alexandria.

Computed properties:
Formation energy without anion corrections in meV/atom: -1395.0
SG: Cmc2_1

Lattice parameters (Å, degrees): 9.288 9.288 11.689 90.00 90.00 154.03
Sites, in units of the cell vectors:
La (0.113, 0.887, 0.500)
La (0.120, 0.880, 0.121)
La (0.880, 0.120, 0.621)
La (0.887, 0.113, 0.000)
Al (0.406, 0.594, 0.288)
Al (0.594, 0.406, 0.788)
Cu (0.253, 0.747, 0.935)
Cu (0.747, 0.253, 0.435)
Se (0.042, 0.958, 0.872)
Se (0.304, 0.696, 0.149)
Se (0.311, 0.689, 0.456)
Se (0.359, 0.641, 0.814)
Se (0.492, 0.508, 0.111)
Se (0.508, 0.492, 0.611)
Se (0.641, 0.359, 0.314)
Se (0.689, 0.311, 0.956)
Se (0.696, 0.304, 0.649)
Se (0.958, 0.042, 0.372)

---

First-principles (PBE) data for a relaxed Be2GeN crystal, as listed in Alexandria.

Computed properties:
Formation energy without anion corrections in meV/atom: -244.1
SG: I-42d

Lattice parameters (Å, degrees): 5.145 5.145 5.145 121.73 121.73 87.03
Sites, in units of the cell vectors:
Be (0.375, 0.225, 0.350)
Be (0.775, 0.125, 0.150)
Be (0.875, 0.025, 0.650)
Be (0.975, 0.625, 0.850)
Ge (0.250, 0.750, 0.500)
Ge (0.500, 0.500, 0.000)
N (0.000, 0.000, 0.000)
N (0.750, 0.250, 0.500)

---

First-principles (PBE) data for a relaxed PuPa2Sb crystal, as listed in Alexandria.

Computed properties:
Formation energy without anion corrections in meV/atom: -240.5
SG: P2_1/m

Lattice parameters (Å, degrees): 5.130 3.928 10.681 90.00 103.99 90.00
Sites, in units of the cell vectors:
Pu (0.182, 0.250, 0.361)
Pu (0.818, 0.750, 0.639)
Pa (0.067, 0.750, 0.133)
Pa (0.455, 0.750, 0.911)
Pa (0.545, 0.250, 0.089)
Pa (0.933, 0.250, 0.867)
Sb (0.331, 0.250, 0.665)
Sb (0.669, 0.750, 0.335)